# SmPuZnRh (PBE, optimized geometry)
# V, A^3/atom: 22.0
# Energy, eV/f.u.: -29.0
# Calculated formation energy, kJ/mol of formula units: -130
data_SmPuZnRh
_chemical_formula_sum 'Sm4 Pu4 Zn4 Rh4'
_symmetry_space_group_name_H-M 'F -4 3 m'
_symmetry_Int_Tables_number 216
_symmetry_space_group_name_Hall 'F -4 2 3'
_cell_length_a 7.060
_cell_length_b 7.060
_cell_length_c 7.060
_cell_angle_alpha 90.00
_cell_angle_beta 90.00
_cell_angle_gamma 90.00
loop_
_atom_site_label
_atom_site_fract_x
_atom_site_fract_y
_atom_site_fract_z
Sm1 0.000 0.000 0.000
Pu1 0.000 0.000 0.500
Zn1 0.250 0.250 0.750
Rh1 0.250 0.250 0.250

# Sm2PuZn2Rh5 (PBE, optimized geometry)
# V, A^3/atom: 18.1
# Energy, eV/f.u.: -69.0
# Calculated formation energy, kJ/mol of formula units: -569
data_Sm2PuZn2Rh5
_chemical_formula_sum 'Sm4 Pu2 Zn4 Rh10'
_symmetry_space_group_name_H-M 'P 4/m b m'
_symmetry_Int_Tables_number 127
_symmetry_space_group_name_Hall '-P 4 2ab'
_cell_length_a 9.864
_cell_length_b 9.864
_cell_length_c 3.729
_cell_angle_alpha 90.00
_cell_angle_beta 90.00
_cell_angle_gamma 90.00
loop_
_atom_site_label
_atom_site_fract_x
_atom_site_fract_y
_atom_site_fract_z
Sm1 0.172 0.328 0.000
Pu1 0.000 0.000 0.000
Zn1 0.124 0.624 0.000
Rh1 0.000 0.500 0.500
Rh2 0.069 0.794 0.500

Table of N(E_F) (states/eV/cell), in record order: 36.082 28.399